Below is a relaxed structure of IrOsRu, with properties calculated at the PBE level.

Summary:
As for the space group: No. 62. The value obtained for the total DFT energy (no corrections) is -9.76 eV/atom. Its volume is 14.2 Å³/atom. The value obtained for the formation energy is 26 meV/atom.

a = 5.431 Å, b = 3.850 Å, c = 8.170 Å
α = 90.00°, β = 90.00°, γ = 90.00°
Positions (direct):
Ir1 0.126 0.250 0.085
Ir2 0.374 0.750 0.585
Ir3 0.626 0.250 0.415
Ir4 0.874 0.750 0.915
Os1 0.125 0.250 0.747
Os2 0.375 0.750 0.247
Os3 0.625 0.250 0.753
Os4 0.875 0.750 0.253
Ru1 0.123 0.250 0.417
Ru2 0.377 0.750 0.917
Ru3 0.623 0.250 0.083
Ru4 0.877 0.750 0.583